Here is an optimized crystal structure of Ca2YTe3 from the Alexandria database. Energies are from PBE.

Results
energy above the most stable polymorph in this dataset: 0 kJ/mol of formula units

Geometry as CIF:
```
data_Ca2YTe3
_space_group_name_H-M_alt 'C 1 2/m 1'
_space_group_IT_number 12
_cell_length_a 7.697
_cell_length_b 13.328
_cell_length_c 7.738
_cell_angle_alpha 90.00
_cell_angle_beta 109.34
_cell_angle_gamma 90.00
loop_
_space_group_symop_operation_xyz
'x,y,z'
'-x,-y,-z'
'-x,y,-z'
'x,-y,z'
'x+1/2,y+1/2,z'
'-x+1/2,-y+1/2,-z'
'-x+1/2,y+1/2,-z'
'x+1/2,-y+1/2,z'
loop_
_atom_site_label
_atom_site_type_symbol
_atom_site_fract_x
_atom_site_fract_y
_atom_site_fract_z
Ca1 Ca 0.000 0.000 0.000
Ca2 Ca 0.000 0.166 0.500
Ca3 Ca 0.000 0.500 0.500
Y1 Y 0.000 0.333 0.000
Te1 Te 0.245 0.500 0.245
Te2 Te 0.250 0.168 0.246
```